Ba5PrS6: optimized geometry, PBE.

Structure (POSCAR):
```
Ba5PrS6
1.0
7.737 0.217 0.000
2.386 7.377 0.000
1.193 3.688 6.706
S Ba Pr
6 5 1
direct
0.237 0.609 0.312
0.762 0.768 0.000
0.763 0.391 0.688
0.237 0.921 0.688
0.238 0.232 0.000
0.763 0.079 0.312
0.000 0.666 0.668
0.500 0.169 0.662
0.000 0.334 0.332
0.500 0.831 0.338
0.500 0.500 0.000
0.000 0.000 0.000
```

D(E_F): 2.5 states/eV per cell
Crystal system: monoclinic
Symmetry: No. 12
DFT total energy: -0.1951 hartree per atom

Ba5Pr3S8: optimized geometry, PBE.

Structure (POSCAR):
```
Ba5Pr3S8
1.0
7.533 0.000 4.315
2.531 7.095 4.315
-0.029 -0.020 8.783
S Ba Pr
8 5 3
direct
0.759 0.759 0.722
0.241 0.241 0.278
0.250 0.772 0.728
0.750 0.228 0.272
0.772 0.250 0.728
0.750 0.750 0.272
0.250 0.250 0.728
0.228 0.750 0.272
0.000 0.500 0.000
0.000 0.000 0.000
0.500 0.500 0.000
0.500 0.500 0.500
0.500 0.000 0.000
0.000 0.500 0.500
0.500 0.000 0.500
0.000 0.000 0.500
```

D(E_F): 3.5 states/eV per cell
Crystal system: trigonal
Symmetry: No. 166
DFT total energy: -0.2051 hartree per atom

BaPr2S4: optimized geometry, PBE.

Structure (POSCAR):
```
BaPr2S4
1.0
4.191 0.000 0.000
-2.096 6.895 0.000
0.000 0.000 14.012
S Ba Pr
8 2 4
direct
0.500 0.000 0.000
0.948 0.896 0.750
0.767 0.534 0.387
0.500 0.000 0.500
0.233 0.466 0.887
0.233 0.466 0.613
0.052 0.104 0.250
0.767 0.534 0.113
0.388 0.777 0.250
0.612 0.223 0.750
0.866 0.732 0.569
0.866 0.732 0.931
0.134 0.268 0.431
0.134 0.268 0.069
```

Relative energy among the computed polymorphs: 22 meV per atom
Crystal system: orthorhombic
Symmetry: No. 63
DFT total energy: -0.2228 hartree per atom